A relaxed CuSiTcRh2 crystal, computed with PBE-GGA.

Computed properties:
- calculated density (g/cm3) = 6.56
- space-group type = P4/mmm (123)

abc: 4.625 4.625 4.678
angles: 90.00 90.00 90.00
Atoms (fractional coordinates):
Cu 0.000 0.000 0.000
Si 0.500 0.500 0.000
Tc 0.000 0.000 0.500
Rh 0.000 0.500 0.500
Rh 0.500 0.000 0.500

=====

A relaxed ThCuSi2Rh crystal, computed with PBE-GGA.

Computed properties:
- calculated density (g/cm3) = 8.81
- space-group type = I-4m2 (119)

abc: 5.812 5.812 5.812
angles: 138.37 138.37 60.34
Atoms (fractional coordinates):
Th 0.000 0.000 0.000
Cu 0.750 0.250 0.500
Si 0.379 0.379 0.000
Si 0.621 0.621 0.000
Rh 0.250 0.750 0.500

=====

A relaxed Th2CuSi4Rh3 crystal, computed with PBE-GGA.

Computed properties:
- calculated density (g/cm3) = 9.06
- space-group type = P-4m2 (115)

abc: 4.199 4.199 9.863
angles: 90.00 90.00 90.00
Atoms (fractional coordinates):
Th 0.000 0.500 0.250
Th 0.500 0.000 0.750
Cu 0.000 0.000 0.500
Si 0.000 0.000 0.000
Si 0.000 0.500 0.631
Si 0.500 0.000 0.369
Si 0.500 0.500 0.000
Rh 0.000 0.500 0.876
Rh 0.500 0.000 0.124
Rh 0.500 0.500 0.500

=====

A relaxed Th2CuSi3Rh4 crystal, computed with PBE-GGA.

Computed properties:
- calculated density (g/cm3) = 9.71
- space-group type = P-4m2 (115)

abc: 4.156 4.156 10.133
angles: 90.00 90.00 90.00
Atoms (fractional coordinates):
Th 0.000 0.500 0.240
Th 0.500 0.000 0.760
Cu 0.500 0.500 0.000
Si 0.000 0.000 0.000
Si 0.000 0.500 0.626
Si 0.500 0.000 0.374
Rh 0.000 0.000 0.500
Rh 0.000 0.500 0.861
Rh 0.500 0.000 0.139
Rh 0.500 0.500 0.500

=====

Ordered final energy results: -5.5439 -6.7522 -7.2038 -7.4062; unit eV per atom.
Ordered energy relative to the elements, uncorrected results: 1.3737 -0.8095 -0.9355 -0.9451; unit eV per atom.